A geometry-optimized ZnFePO2 structure, computed with PBE+U.

Cell: 3.6826 3.6826 5.1715 Å, 90.00 90.00 90.00°
With the nearest neighbours (Å) after each atom.
Atoms (fractional coordinates):
1 Zn 0.0000 0.0000 0.0000  4 P 2.60
2 Fe 0.5000 0.5000 0.5000  4 O 1.84
3 P 0.5000 0.5000 0.0000  2 Fe 2.59, 4 Zn 2.60
4 O 0.0000 0.5000 0.5000  2 Fe 1.84
5 O 0.5000 0.0000 0.5000  2 Fe 1.84

**V**: 14.03 Å³/atom
**E_tot**: -0.34278 Ry per atom
**M_tot**: 3.81 μB/f.u.